Entry 1:
Entry from Alexandria: RePRhCl2 after structural relaxation (PBE).

```
RePRhCl2
1.0
4.4739 0.0000 0.0000
0.0000 5.4821 0.0000
0.0000 0.0000 4.4739
Re P Cl Rh
1 1 2 1
Direct
0.0000 0.5000 0.0000
0.5000 0.5000 0.5000
0.0000 0.0000 0.5000
0.5000 0.0000 0.0000
0.0000 0.0000 0.0000
```

Results
The magnetization comes out at 2.74 μB/cell. Its space group is P4/mmm. The calculation puts the distance to the lowest polymorph of the same formula at 0.257 eV per atom. Its formation energy from raw total energies is 1.221 eV/atom.

---

Entry 2:
Entry from Alexandria: LiGaCuRu after structural relaxation (PBE).

```
LiGaCuRu
1.0
3.0425 0.0000 0.0000
0.0000 4.0478 0.0000
0.0000 0.0000 4.3219
Li Ga Cu Ru
1 1 1 1
Direct
0.5000 0.5000 0.0000
0.0000 0.5000 0.5000
0.0000 0.0000 0.0000
0.5000 0.0000 0.5000
```

Results
The magnetization comes out at 0.00 μB/cell. The energy of formation is -217 meV/atom. Its space group is Pmmm.

---

Entry 3:
Entry from Alexandria: KInSn2 after structural relaxation (PBE).

```
KInSn2
1.0
-4.8724 2.0112 0.9249
-0.3217 -2.8556 4.5147
1.6143 7.3746 7.9516
Sn K In
4 2 2
Direct
0.3750 0.2781 0.7500
0.7219 0.1250 0.2500
0.0281 0.6250 0.2500
0.8750 0.9719 0.7500
0.2500 0.7500 0.5000
0.5000 0.5000 0.0000
0.7500 0.2500 0.5000
0.0000 0.0000 0.0000
```

Results
The magnetization comes out at 0.00 μB/cell. The energy of formation is 69 meV/atom. Its space group is I-42d.